Entry from the Open Quantum Materials Database: crystalline BaAlCdGa2 at its relaxed geometry (PBE-GGA).

Output
Calculated density ... 5.74 Mg/m³
Crystal system ... tetragonal
Calculated total energy ... -14.4 eV per cell
Space-group type ... I-4m2 (119)

Cell: 6.5632 6.5632 6.5632 Å, 139.01 139.01 59.36°
Closest atoms and distances in Å follow each position.
Sites, in units of the cell vectors:
1 Al 0.2500 0.7500 0.5000  4 Ga 2.77
2 Cd 0.7500 0.2500 0.5000  4 Ga 2.77
3 Ga 0.3852 0.3852 0.0000  1 Ga 2.62, 2 Cd 2.77, 2 Al 2.77
4 Ba 0.0000 0.0000 0.0000  8 Ga 3.50, 4 Cd 3.66, 4 Al 3.66
5 Ga 0.6148 0.6148 0.0000  1 Ga 2.62, 2 Al 2.77, 2 Cd 2.77


Entry from the Open Quantum Materials Database: crystalline NdSmSi2Os at its relaxed geometry (PBE-GGA).

Output
Energy relative to the lowest polymorph listed for this composition ... 0.60 kJ per mole of atoms
Calculated density ... 8.45 Mg/m³
Crystal system ... monoclinic
Space-group type ... C2/m (12)

Cell: 5.9791 5.9791 10.3287 Å, 118.12 118.12 41.86°
Closest atoms and distances in Å follow each position.
Sites, in units of the cell vectors:
1 Sm 0.8160 0.8160 0.8932  5 Si 2.92-3.11
2 Sm 0.1840 0.1840 0.1068  5 Si 2.92-3.11
3 Os 0.7251 0.7251 0.3753  4 Si 2.42-2.50
4 Nd 0.0122 0.0122 0.6801  6 Si 2.99-3.24, 4 Os 3.16-3.26
5 Si 0.3425 0.3425 0.4344  3 Os 2.42-2.44
6 Nd 0.9878 0.9878 0.3199  6 Si 2.99-3.24, 4 Os 3.16-3.26
7 Si 0.5048 0.5048 0.1266  1 Os 2.50, 1 Si 2.56
8 Si 0.6575 0.6575 0.5656  3 Os 2.42-2.44
9 Os 0.2749 0.2749 0.6247  4 Si 2.42-2.50
10 Si 0.4952 0.4952 0.8734  1 Os 2.50, 1 Si 2.56


Entry from the Open Quantum Materials Database: crystalline RbLuAu at its relaxed geometry (PBE-GGA).

Output
Energy relative to the lowest polymorph listed for this composition ... 0.00 kJ per mole of atoms
Calculated density ... 7.47 Mg/m³
Crystal system ... cubic
Space-group type ... F-43m (216)

Cell: 5.2397 5.2397 5.2397 Å, 60.00 60.00 60.00°
Closest atoms and distances in Å follow each position.
Sites, in units of the cell vectors:
1 Lu 0.2500 0.2500 0.2500  4 Au 3.21
2 Rb 0.7500 0.7500 0.7500  4 Au 3.21
3 Au 0.0000 0.0000 0.0000  4 Rb 3.21, 4 Lu 3.21


Entry from the Open Quantum Materials Database: crystalline TlRe3S5 at its relaxed geometry (PBE-GGA).

Output
Calculated density ... 7.99 Mg/m³
Crystal system ... hexagonal
Calculated total energy ... -59.7 eV per cell
Space-group type ... P6/mmm (191)

Cell: 5.6364 5.6364 6.9783 Å, 90.00 90.00 120.00°
Closest atoms and distances in Å follow each position.
Sites, in units of the cell vectors:
1 S 0.6667 0.3333 0.7520  3 Re 2.40
2 Re 0.5000 0.5000 0.5000  4 S 2.40
3 Tl 0.0000 0.0000 0.0000  14 S 3.49-3.69
4 S 0.3333 0.6667 0.2480  3 Re 2.40
5 S 0.3333 0.6667 0.7520  3 Re 2.40
6 Re 0.0000 0.5000 0.5000  4 S 2.40
7 S 0.6667 0.3333 0.2480  3 Re 2.40
8 Re 0.5000 0.0000 0.5000  4 S 2.40
9 S 0.0000 0.0000 0.5000  6 Re 2.82


Entry from the Open Quantum Materials Database: crystalline ZrBi2Au2 at its relaxed geometry (PBE-GGA).

Output
Calculated density ... 10.84 Mg/m³
Crystal system ... tetragonal
Calculated total energy ... -22.2 eV per cell
Space-group type ... I4/mmm (139)

Cell: 5.7849 5.7849 5.7849 Å, 119.26 119.26 91.29°
Closest atoms and distances in Å follow each position.
Sites, in units of the cell vectors:
1 Au 0.3303 0.3303 0.0000  1 Zr 2.67, 1 Au 2.75
2 Bi 0.5000 0.0000 0.5000  2 Zr 2.92, 4 Au 3.23
3 Bi 0.0000 0.5000 0.5000  2 Zr 2.92, 4 Au 3.23
4 Zr 0.0000 0.0000 0.0000  2 Au 2.67, 4 Bi 2.92
5 Au 0.6697 0.6697 0.0000  1 Zr 2.67, 1 Au 2.75


Entry from the Open Quantum Materials Database: crystalline Tc2MoAs2 at its relaxed geometry (PBE-GGA).

Output
Energy relative to the lowest polymorph listed for this composition ... 0.00 kJ per mole of atoms
Calculated density ... 8.77 Mg/m³
Crystal system ... tetragonal
Space-group type ... I4/mmm (139)

Cell: 5.5530 5.5530 5.5530 Å, 135.24 135.24 65.16°
Closest atoms and distances in Å follow each position.
Sites, in units of the cell vectors:
1 As 0.3747 0.3747 0.0000  1 As 2.34, 4 Tc 2.42
2 Mo 0.0000 0.0000 0.0000  8 Tc 3.15, 10 As 3.21-3.51
3 Tc 0.7500 0.2500 0.5000  4 As 2.42
4 As 0.6253 0.6253 0.0000  1 As 2.34, 4 Tc 2.42
5 Tc 0.2500 0.7500 0.5000  4 As 2.42


Entry from the Open Quantum Materials Database: crystalline Sc2Cu3W4C3 at its relaxed geometry (PBE-GGA).

Output
Calculated density ... 10.68 Mg/m³
Crystal system ... monoclinic
Calculated total energy ... -210.7 eV per cell
Space-group type ... C2/c (15)

Cell: 5.3326 5.3326 13.6720 Å, 101.86 101.86 59.99°
Closest atoms and distances in Å follow each position.
Sites, in units of the cell vectors:
1 C 0.6672 0.1651 0.5000  4 W 2.06-2.14
2 W 0.8499 0.6947 0.0828  3 C 2.06-2.14
3 W 0.6947 0.8499 0.5828  3 C 2.06-2.14
4 Sc 0.6212 0.4592 0.3852  3 C 2.33-2.36
5 C 0.8349 0.3328 0.0000  4 W 2.06-2.14
6 Cu 0.9291 0.0709 0.7500  4 Cu 2.66-2.68, 4 W 2.71-2.73
7 Sc 0.3788 0.5408 0.6148  3 C 2.33-2.36
8 C 0.5000 0.0000 0.0000  4 W 2.07
9 Cu 0.0709 0.9291 0.2500  4 Cu 2.66-2.68, 4 W 2.71-2.73
10 Cu 0.1033 0.4129 0.2476  4 Cu 2.66-2.68, 4 W 2.69-2.70
11 W 0.0151 0.2081 0.5827  3 C 2.06-2.14
12 Cu 0.8967 0.5871 0.7524  4 Cu 2.66-2.68, 4 W 2.69-2.70
13 C 0.3328 0.8349 0.5000  4 W 2.06-2.14
14 Cu 0.5871 0.8967 0.2524  4 Cu 2.66-2.68, 4 W 2.69-2.70
15 C 0.0000 0.5000 0.5000  4 W 2.07
16 Sc 0.4592 0.6212 0.8852  3 C 2.33-2.36
17 Cu 0.4129 0.1033 0.7476  4 Cu 2.66-2.68, 4 W 2.69-2.70
18 Sc 0.5408 0.3788 0.1148  3 C 2.33-2.36
19 W 0.7919 0.9849 0.9173  3 C 2.06-2.14
20 W 0.1501 0.3053 0.9172  3 C 2.06-2.14
21 W 0.9849 0.7919 0.4173  3 C 2.06-2.14
22 W 0.2081 0.0151 0.0827  3 C 2.06-2.14
23 C 0.1651 0.6672 0.0000  4 W 2.06-2.14
24 W 0.3053 0.1501 0.4172  3 C 2.06-2.14


Entry from the Open Quantum Materials Database: crystalline AcAu2O4 at its relaxed geometry (PBE-GGA).

Output
Calculated density ... 9.92 Mg/m³
Crystal system ... cubic
Calculated total energy ... -71.8 eV per cell
Space-group type ... Fd-3m (227)

Cell: 6.8724 6.8724 6.8724 Å, 120.04 89.93 120.04°
Closest atoms and distances in Å follow each position.
Sites, in units of the cell vectors:
1 O 0.6070 0.2145 0.3926  3 Au 2.27, 1 Ac 2.40
2 Au 0.3750 0.2500 0.6250  6 O 2.27
3 O 0.1781 0.7855 0.3926  3 Au 2.27, 1 Ac 2.40
4 Ac 0.7500 0.5000 0.2500  4 O 2.40
5 O 0.1426 0.2855 0.4281  3 Au 2.27, 1 Ac 2.40
6 O 0.1430 0.2855 0.8574  3 Au 2.27, 1 Ac 2.40
7 Au 0.8750 0.2500 0.6250  6 O 2.27
8 Au 0.3750 0.7500 0.1250  6 O 2.27
9 O 0.5719 0.7145 0.8574  3 Au 2.27, 1 Ac 2.40
10 O 0.6074 0.7855 0.3930  3 Au 2.27, 1 Ac 2.40
11 O 0.6074 0.2145 0.8219  3 Au 2.27, 1 Ac 2.40
12 Au 0.3750 0.7500 0.6250  6 O 2.27
13 Ac 0.0000 0.0000 0.0000  4 O 2.40
14 O 0.1426 0.7145 0.8570  3 Au 2.27, 1 Ac 2.40


Entry from the Open Quantum Materials Database: crystalline Dy3Y4Cu2Te2 at its relaxed geometry (PBE-GGA).

Output
Calculated density ... 6.83 Mg/m³
Crystal system ... orthorhombic
Calculated total energy ... -59.9 eV per cell
Space-group type ... Imm2 (44)

Cell: 9.3909 9.3909 9.3909 Å, 155.63 67.16 118.50°
Closest atoms and distances in Å follow each position.
Sites, in units of the cell vectors:
1 Cu 0.1426 0.4050 0.7376  3 Dy 2.84-3.18, 4 Y 2.90-2.93
2 Te 0.2421 0.2421 0.0000  4 Y 3.17, 4 Dy 3.20-3.21
3 Y 0.2673 0.8945 0.3729  2 Cu 2.90, 3 Te 3.11-3.17
4 Cu 0.6674 0.4050 0.2624  3 Dy 2.84-3.18, 4 Y 2.90-2.93
5 Te 0.6436 0.1436 0.5000  6 Y 3.11-3.13, 1 Dy 3.24
6 Dy 0.2844 0.0989 0.1855  3 Cu 2.84-3.18
7 Y 0.5216 0.8945 0.6271  2 Cu 2.90, 3 Te 3.11-3.17
8 Dy 0.9810 0.4810 0.5000  3 Te 3.20-3.24
9 Dy 0.9135 0.0989 0.8145  3 Cu 2.84-3.18
10 Y 0.8839 0.7414 0.1425  2 Cu 2.93, 2 Te 3.13
11 Y 0.5989 0.7414 0.8575  2 Cu 2.93, 2 Te 3.13


Entry from the Open Quantum Materials Database: crystalline NaAlNiSe3 at its relaxed geometry (PBE-GGA).

Output
Energy relative to the lowest polymorph listed for this composition ... 0.00 kJ per mole of atoms
Calculated density ... 4.43 Mg/m³
Crystal system ... monoclinic
Space-group type ... P2_1/m (11)

Cell: 7.7484 3.6878 9.3936 Å, 90.00 104.95 90.00°
Closest atoms and distances in Å follow each position.
Sites, in units of the cell vectors:
1 Se 0.7362 0.2500 0.0493  3 Ni 2.35-2.39
2 Na 0.7176 0.7500 0.7700  6 Se 2.97-3.18
3 Se 0.0528 0.7500 0.3489  3 Al 2.50-2.58
4 Se 0.9472 0.2500 0.6511  3 Al 2.50-2.58
5 Se 0.6030 0.7500 0.3526  1 Ni 2.41, 2 Al 2.53
6 Ni 0.4317 0.2500 0.9096  4 Se 2.35-2.41, 2 Ni 2.54
7 Na 0.2824 0.2500 0.2300  6 Se 2.97-3.18
8 Al 0.8319 0.2500 0.3773  5 Se 2.50-2.58
9 Se 0.3970 0.2500 0.6474  1 Ni 2.41, 2 Al 2.53
10 Ni 0.5683 0.7500 0.0904  4 Se 2.35-2.41, 2 Ni 2.54
11 Se 0.2638 0.7500 0.9507  3 Ni 2.35-2.39
12 Al 0.1681 0.7500 0.6227  5 Se 2.50-2.58


Entry from the Open Quantum Materials Database: crystalline AlIrW2 at its relaxed geometry (PBE-GGA).

Output
Calculated density ... 15.95 Mg/m³
Crystal system ... cubic
Calculated total energy ... -39.0 eV per cell
Space-group type ... F-43m (216)

Cell: 4.4209 4.4209 4.4209 Å, 60.00 60.00 60.00°
Closest atoms and distances in Å follow each position.
Sites, in units of the cell vectors:
1 Ir 0.2500 0.2500 0.2500  4 Al 2.71, 4 W 2.71
2 W 0.0000 0.0000 0.0000  4 W 2.71, 4 Ir 2.71
3 W 0.7500 0.7500 0.7500  4 W 2.71, 4 Al 2.71
4 Al 0.5000 0.5000 0.5000  4 W 2.71, 4 Ir 2.71


Entry from the Open Quantum Materials Database: crystalline TbPmSc at its relaxed geometry (PBE-GGA).

Output
Energy relative to the lowest polymorph listed for this composition ... 0.00 kJ per mole of atoms
Calculated density ... 5.56 Mg/m³
Crystal system ... cubic
Space-group type ... F-43m (216)
E_form ... 673 meV per atom

Cell: 5.2827 5.2827 5.2827 Å, 60.00 60.00 60.00°
Closest atoms and distances in Å follow each position.
Sites, in units of the cell vectors:
1 Tb 0.7500 0.7500 0.7500  4 Sc 3.23
2 Pm 0.2500 0.2500 0.2500  4 Sc 3.23-3.24
3 Sc 0.0000 0.0000 0.0000  4 Pm 3.23-3.24, 4 Tb 3.23


Number 1: V 24.1 Å³/atom. Number 2: V 21.3 Å³/atom. Number 3: V 33.9 Å³/atom. Number 4: V 21.3 Å³/atom. Number 5: V 27.7 Å³/atom. Number 6: V 16.7 Å³/atom. Number 7: V 13.6 Å³/atom. Number 8: V 16.4 Å³/atom. Number 9: V 27.1 Å³/atom. Number 10: V 21.6 Å³/atom. Number 11: V 15.3 Å³/atom. Number 12: V 34.7 Å³/atom.